10
Lattice="5.8537 0.0001 0.0002 2.9269 5.0694 0.0001 2.9268 1.6900 4.9691" Properties=species:S:1:pos:R:3 comment="CeFePb2O6 PBE with a Hubbard U optimized geometry" dft_energy_ha_per_atom=-0.2427 pbc="T T T"
Ce 8.7806 5.0696 2.8080
Fe 2.9269 1.6898 0.2713
Pb 5.8538 3.3799 1.8215
Pb 2.9267 1.6900 4.5001
O 4.6094 1.1950 1.2832
O 1.6570 0.4803 1.2833
O 2.5144 3.3944 1.2831
O 6.8661 4.6626 3.8904
O 6.4585 1.8614 3.8908
O 4.2364 3.6150 3.8905